Below is a relaxed structure of Sc2VPt, with properties calculated at the GGA-PBE level.

Calculated values
energy above the lowest structure with this stoichiometry	0	kJ/mol of formula units
ΔE_f	-0.5522	eV per atom
crystal system	tetragonal
E_tot	-30.0	eV per cell
N(E_F)	0.412	states/eV/atom
calculated density	7.68	g/cm3

Cell: 4.6060 4.6060 3.4228 Å, 90.00 90.00 90.00°
Space group P4/mmm (No. 123)
Symmetry-distinct sites (fractional):
Sc 0.0000 0.5000 0.0000 [2 per cell]
V 0.0000 0.0000 0.5000 [1 per cell]
Pt 0.5000 0.5000 0.5000 [1 per cell]


Below is a relaxed structure of Ba8N4Cl3, with properties calculated at the GGA-PBE level.

Calculated values
crystal system	monoclinic
E_tot	-136.0	eV per cell
ΔE_f (raw)	-919	meV per atom
N(E_F)	0.264	states/eV/atom
calculated density	4.60	g/cm3

Cell: 12.1298 12.2588 8.4482 Å, 90.00 133.52 90.00°
Space group C2/m (No. 12)
Symmetry-distinct sites (fractional):
Ba 0.0000 0.2318 0.0000 [4 per cell]
Ba 0.0000 0.2326 0.5000 [4 per cell]
Ba 0.1950 0.0000 0.4416 [4 per cell]
Ba 0.2336 0.0000 0.9767 [4 per cell]
N 0.0000 0.0000 0.0000 [2 per cell]
N 0.0000 0.0000 0.5000 [2 per cell]
N 0.2500 0.2500 0.0000 [4 per cell]
Cl 0.0000 0.5000 0.5000 [2 per cell]
Cl 0.2500 0.2500 0.5000 [4 per cell]


Below is a relaxed structure of AgAsOs2, with properties calculated at the GGA-PBE level.

Calculated values
ΔE_f	0.5526	eV per atom
crystal system	trigonal
E_tot	-83.2	eV per cell
N(E_F)	0.620	states/eV/atom
calculated density	15.03	g/cm3

Cell: 2.8946 2.8946 25.7312 Å, 90.00 90.00 120.00°
Space group R-3m (No. 166, hexagonal axes)
Symmetry-distinct sites (fractional):
Ag 0.0000 0.0000 0.0000 [3 per cell]
As 0.0000 0.0000 0.5000 [3 per cell]
Os 0.0000 0.0000 0.2392 [6 per cell]


Below is a relaxed structure of TbYMgZn, with properties calculated at the GGA-PBE level.

Calculated values
energy above the lowest structure with this stoichiometry	0	kJ/mol of formula units
ΔE_f	-0.2201	eV per atom
crystal system	tetragonal
E_tot	-14.8	eV per cell
N(E_F)	1.186	states/eV/atom
calculated density	5.54	g/cm3

Cell: 3.6017 3.6017 7.8019 Å, 90.00 90.00 90.00°
Space group P4mm (No. 99)
Symmetry-distinct sites (fractional):
Tb 0.0000 0.0000 0.0000 [1 per cell]
Y 0.0000 0.0000 0.4469 [1 per cell]
Mg 0.5000 0.5000 0.7223 [1 per cell]
Zn 0.5000 0.5000 0.2242 [1 per cell]


Below is a relaxed structure of Pr2CdH12Rh3, with properties calculated at the GGA-PBE level.

Calculated values
crystal system	trigonal
E_tot	-230.5	eV per cell
N(E_F)	0.402	states/eV/atom
calculated density	6.93	g/cm3

Cell: 6.3738 6.3738 14.6178 Å, 90.00 90.00 120.00°
Space group R-3m (No. 166, hexagonal axes)
Symmetry-distinct sites (fractional):
Pr 0.0000 0.0000 0.1157 [6 per cell]
Cd 0.0000 0.0000 0.5000 [3 per cell]
H 0.0189 0.5095 0.8853 [18 per cell]
H 0.0301 0.5151 0.3349 [18 per cell]
Rh 0.0000 0.5000 0.0000 [9 per cell]


Below is a relaxed structure of Ti2WN, with properties calculated at the GGA-PBE level.

Calculated values
crystal system	tetragonal
E_tot	-148.4	eV per cell
ΔE_f (raw)	-7	meV per atom
N(E_F)	1.082	states/eV/atom
calculated density	7.76	g/cm3

Cell: 5.8310 5.8310 7.3893 Å, 90.00 90.00 90.00°
Space group I-42d (No. 122)
Symmetry-distinct sites (fractional):
Ti 0.1463 0.2500 0.1250 [8 per cell]
W 0.0000 0.0000 0.5000 [4 per cell]
N 0.0000 0.0000 0.0000 [4 per cell]


Below is a relaxed structure of Pm3Nd6Y2Tl, with properties calculated at the GGA-PBE level.

Calculated values
ΔE_f	-0.0118	eV per atom
crystal system	monoclinic
E_tot	-116.6	eV per cell
N(E_F)	1.327	states/eV/atom
calculated density	6.97	g/cm3

Cell: 6.2598 10.9081 11.9399 Å, 90.00 100.45 90.00°
Space group C2/m (No. 12)
Symmetry-distinct sites (fractional):
Pm 0.0000 0.0000 0.0000 [2 per cell]
Pm 0.0000 0.3312 0.0000 [4 per cell]
Nd 0.2432 0.3367 0.7450 [8 per cell]
Nd 0.2457 0.5000 0.2523 [4 per cell]
Y 0.0000 0.1656 0.5000 [4 per cell]
Tl 0.0000 0.5000 0.5000 [2 per cell]


Below is a relaxed structure of Nd2Be2SiO7, with properties calculated at the GGA-PBE level.

Calculated values
crystal system	tetragonal
E_tot	-189.1	eV per cell
ΔE_f (raw)	-3118	meV per atom
N(E_F)	0.000	states/eV/atom
calculated density	5.35	g/cm3

Cell: 7.5173 7.5173 4.9056 Å, 90.00 90.00 90.00°
Space group P-42_1m (No. 113)
Symmetry-distinct sites (fractional):
Nd 0.1605 0.3395 0.4940 [4 per cell]
Be 0.1349 0.6349 0.9641 [4 per cell]
Si 0.0000 0.0000 0.0000 [2 per cell]
O 0.0000 0.5000 0.8296 [2 per cell]
O 0.0773 0.8356 0.8098 [8 per cell]
O 0.1406 0.6406 0.2877 [4 per cell]


Among the records above, which one has the highest E_tot?
TbYMgZn


What is the N(E_F) in the first record?
0.412 states/eV/atom